1.
{"formula": "Lu4Ga3W2C3", "functional": "PBE", "state": "optimized geometry", "cell": [[-3.7180, -1.7766, 4.0651], [-3.6007, -4.3827, -1.1541], [11.8368, -6.6799, 3.6013]], "species": ["Ga", "Ga", "Ga", "Ga", "Ga", "Ga", "W", "W", "W", "W", "Lu", "Lu", "Lu", "Lu", "Lu", "Lu", "Lu", "Lu", "C", "C", "C", "C", "C", "C"], "fractional_positions": [[0.4197, 0.3212, 0.7532], [0.6788, 0.5803, 0.7468], [0.1615, 0.8385, 0.7500], [0.3212, 0.4197, 0.2532], [0.8385, 0.1615, 0.2500], [0.5803, 0.6788, 0.2468], [0.3488, 0.5246, 0.5724], [0.6512, 0.4754, 0.4276], [0.4754, 0.6512, 0.9276], [0.5246, 0.3488, 0.0724], [0.0471, 0.1890, 0.6007], [0.1194, 0.2988, 0.8991], [0.8806, 0.7012, 0.1009], [0.9529, 0.8110, 0.3993], [0.8110, 0.9529, 0.8993], [0.1890, 0.0471, 0.1007], [0.7012, 0.8806, 0.6009], [0.2988, 0.1194, 0.3991], [0.0000, 0.5000, 0.5000], [0.1890, 0.6557, 0.0000], [0.3443, 0.8110, 0.5000], [0.8110, 0.3443, 0.0000], [0.5000, 0.0000, 0.0000], [0.6557, 0.1890, 0.5000]], "dft_energy_ry_per_atom": -0.531, "spacegroup": "C2/c", "density_g_cm3": 11.0}



2.
{"formula": "Lu4ZnGaC2", "functional": "PBE", "state": "optimized geometry", "cell": [[3.5042, 0.0000, 0.0000], [-1.7521, 3.0347, 0.0000], [0.0000, 0.0000, 14.8264]], "species": ["Lu", "Lu", "Lu", "Lu", "Ga", "C", "C", "Zn"], "fractional_positions": [[0.3333, 0.6667, 0.1618], [0.3333, 0.6667, 0.8382], [0.0000, 0.0000, 0.3386], [0.0000, 0.0000, 0.6614], [0.0000, 0.0000, 0.0000], [0.6667, 0.3333, 0.7466], [0.6667, 0.3333, 0.2534], [0.3333, 0.6667, 0.5000]], "dft_energy_ry_per_atom": -0.402, "spacegroup": "P-6m2", "density_g_cm3": 9.0}



3.
{"formula": "Lu4Zr2Ga3C3", "functional": "PBE", "state": "optimized geometry", "cell": [[-4.9422, -2.9622, -1.5141], [-2.1590, -4.2421, 3.5827], [-5.6590, 12.4556, 6.2178]], "species": ["Ga", "Ga", "Ga", "Ga", "Ga", "Ga", "C", "C", "C", "C", "C", "C", "Lu", "Lu", "Lu", "Lu", "Lu", "Lu", "Lu", "Lu", "Zr", "Zr", "Zr", "Zr"], "fractional_positions": [[0.5836, 0.6870, 0.2501], [0.3130, 0.4164, 0.2499], [0.4164, 0.3130, 0.7499], [0.6870, 0.5836, 0.7501], [0.1410, 0.8590, 0.7500], [0.8590, 0.1410, 0.2500], [0.8196, 0.3401, 0.0000], [0.1804, 0.6599, 0.0000], [0.6599, 0.1804, 0.5000], [0.0000, 0.5000, 0.5000], [0.5000, 0.0000, 0.0000], [0.3401, 0.8196, 0.5000], [0.0363, 0.1954, 0.5958], [0.3022, 0.1288, 0.4041], [0.1288, 0.3022, 0.9041], [0.6978, 0.8712, 0.5959], [0.9637, 0.8046, 0.4042], [0.8712, 0.6978, 0.0959], [0.1954, 0.0363, 0.0958], [0.8046, 0.9637, 0.9042], [0.3548, 0.5274, 0.5800], [0.4726, 0.6452, 0.9200], [0.5274, 0.3548, 0.0800], [0.6452, 0.4726, 0.4200]], "dft_energy_ry_per_atom": -0.482, "spacegroup": "C2/c", "density_g_cm3": 8.4}



4.
{"formula": "Ga4Mo3C2", "functional": "PBE", "state": "optimized geometry", "cell": [[6.8715, 0.0000, 0.0000], [0.0000, 2.8950, 0.0000], [-3.4352, 0.0000, 5.9515]], "species": ["Ga", "Ga", "Ga", "Ga", "C", "C", "Mo", "Mo", "Mo"], "fractional_positions": [[0.3333, 0.5000, 0.6667], [0.2237, 0.5000, 0.2529], [0.7471, 0.5000, 0.9708], [0.0292, 0.5000, 0.7763], [0.6667, 0.5000, 0.3333], [0.0000, 0.0000, 0.0000], [0.9191, 0.0000, 0.3612], [0.4421, 0.0000, 0.0809], [0.6388, 0.0000, 0.5579]], "dft_energy_ry_per_atom": -0.482, "spacegroup": "P-6", "density_g_cm3": 8.3}